# 1
Compound: CdReCl
Source: Alexandria
Functional: PBE
Structure: relaxed Values from VASP.

Quantum ESPRESSO input file:
```
&SYSTEM
  ibrav = 0, nat = 3, ntyp = 3
/
ATOMIC_SPECIES
Cd 112.41 Cd.upf
Re 186.21 Re.upf
Cl 35.45 Cl.upf
CELL_PARAMETERS angstrom
2.929 0.000 0.000
-1.464 2.536 0.000
0.000 0.000 8.065
ATOMIC_POSITIONS crystal
Cd 0.000 0.000 0.000
Re 0.333 0.667 0.695
Cl 0.667 0.333 0.470
```

Values from the calculation:
The calculation puts the total magnetization at 0.0 μB per formula unit. The density of states at the Fermi level is 0.352 states/eV/atom. The value obtained for the uncorrected formation energy is 1.31 eV per formula unit.



# 2
Compound: Cd2ReCl
Source: Alexandria
Functional: PBE
Structure: relaxed Values from VASP.

Quantum ESPRESSO input file:
```
&SYSTEM
  ibrav = 0, nat = 4, ntyp = 3
/
ATOMIC_SPECIES
Cd 112.41 Cd.upf
Re 186.21 Re.upf
Cl 35.45 Cl.upf
CELL_PARAMETERS angstrom
2.980 -4.260 0.000
2.980 4.260 0.000
0.000 0.000 2.946
ATOMIC_POSITIONS crystal
Cd 0.000 0.500 0.000
Cd 0.500 0.000 0.000
Re 0.000 0.000 0.500
Cl 0.500 0.500 0.500
```

Values from the calculation:
The calculation puts the total magnetization at 0.0 μB per formula unit. The density of states at the Fermi level is 0.659 states/eV/atom. The value obtained for the uncorrected formation energy is 2.10 eV per formula unit.



# 3
Compound: CdReCl
Source: Alexandria
Functional: PBE
Structure: relaxed Values from VASP.

Quantum ESPRESSO input file:
```
&SYSTEM
  ibrav = 0, nat = 3, ntyp = 3
/
ATOMIC_SPECIES
Cd 112.41 Cd.upf
Re 186.21 Re.upf
Cl 35.45 Cl.upf
CELL_PARAMETERS angstrom
-1.407 1.891 5.192
1.407 -1.891 5.192
1.407 1.891 -5.192
ATOMIC_POSITIONS crystal
Cd 0.000 0.000 0.000
Re 0.298 0.298 0.000
Cl 0.718 0.718 0.000
```

Values from the calculation:
The calculation puts the total magnetization at 0.0 μB per formula unit. The density of states at the Fermi level is 0.672 states/eV/atom. The value obtained for the uncorrected formation energy is 2.79 eV per formula unit.



# 4
Compound: CdRe2Cl
Source: Alexandria
Functional: PBE
Structure: relaxed Values from VASP.

Quantum ESPRESSO input file:
```
&SYSTEM
  ibrav = 0, nat = 4, ntyp = 3
/
ATOMIC_SPECIES
Cd 112.41 Cd.upf
Re 186.21 Re.upf
Cl 35.45 Cl.upf
CELL_PARAMETERS angstrom
1.390 -2.512 0.000
1.390 2.512 0.000
0.000 0.000 9.559
ATOMIC_POSITIONS crystal
Cd 0.000 0.000 0.000
Re 0.500 0.500 0.264
Re 0.500 0.500 0.736
Cl 0.000 0.000 0.500
```

Values from the calculation:
The calculation puts the total magnetization at 0.0 μB per formula unit. The density of states at the Fermi level is 1.049 states/eV/atom. The value obtained for the uncorrected formation energy is 3.83 eV per formula unit.



# 5
Compound: Cd2ReCl
Source: Alexandria
Functional: PBE
Structure: relaxed Values from VASP.

Quantum ESPRESSO input file:
```
&SYSTEM
  ibrav = 0, nat = 4, ntyp = 3
/
ATOMIC_SPECIES
Cd 112.41 Cd.upf
Re 186.21 Re.upf
Cl 35.45 Cl.upf
CELL_PARAMETERS angstrom
1.475 0.852 10.731
-1.475 0.852 10.731
0.000 -1.703 10.731
ATOMIC_POSITIONS crystal
Cd 0.000 0.000 0.000
Cd 0.241 0.241 0.241
Re 0.741 0.741 0.741
Cl 0.464 0.464 0.464
```

Values from the calculation:
The calculation puts the total magnetization at 0.0 μB per formula unit. The density of states at the Fermi level is 0.479 states/eV/atom. The value obtained for the uncorrected formation energy is 1.20 eV per formula unit.



# 6
Compound: Cd2ReCl
Source: Alexandria
Functional: PBE
Structure: relaxed Values from VASP.

Quantum ESPRESSO input file:
```
&SYSTEM
  ibrav = 0, nat = 4, ntyp = 3
/
ATOMIC_SPECIES
Cd 112.41 Cd.upf
Re 186.21 Re.upf
Cl 35.45 Cl.upf
CELL_PARAMETERS angstrom
-2.066 2.066 4.776
2.066 -2.066 4.776
2.066 2.066 -4.776
ATOMIC_POSITIONS crystal
Cd 0.000 0.000 0.000
Cd 0.750 0.250 0.500
Re 0.500 0.500 0.000
Cl 0.250 0.750 0.500
```

Values from the calculation:
The calculation puts the total magnetization at 2.6 μB per formula unit. The density of states at the Fermi level is 0.613 states/eV/atom. The value obtained for the uncorrected formation energy is 3.64 eV per formula unit.



# 7
Compound: Cd2ReCl
Source: Alexandria
Functional: PBE
Structure: relaxed Values from VASP.

Quantum ESPRESSO input file:
```
&SYSTEM
  ibrav = 0, nat = 4, ntyp = 3
/
ATOMIC_SPECIES
Cd 112.41 Cd.upf
Re 186.21 Re.upf
Cl 35.45 Cl.upf
CELL_PARAMETERS angstrom
0.000 3.497 3.497
3.497 0.000 3.497
3.497 3.497 0.000
ATOMIC_POSITIONS crystal
Cd 0.250 0.250 0.250
Cd 0.750 0.750 0.750
Re 0.000 0.000 0.000
Cl 0.500 0.500 0.500
```

Values from the calculation:
The calculation puts the total magnetization at 2.9 μB per formula unit. The density of states at the Fermi level is 0.826 states/eV/atom. The value obtained for the uncorrected formation energy is 4.19 eV per formula unit.



# 8
Compound: CdRe2Cl
Source: Alexandria
Functional: PBE
Structure: relaxed Values from VASP.

Quantum ESPRESSO input file:
```
&SYSTEM
  ibrav = 0, nat = 4, ntyp = 3
/
ATOMIC_SPECIES
Cd 112.41 Cd.upf
Re 186.21 Re.upf
Cl 35.45 Cl.upf
CELL_PARAMETERS angstrom
5.348 -1.402 0.000
5.348 1.402 0.000
-2.107 0.000 4.455
ATOMIC_POSITIONS crystal
Cd 0.000 0.000 0.000
Re 0.227 0.227 0.743
Re 0.773 0.773 0.257
Cl 0.500 0.500 0.500
```

Values from the calculation:
The calculation puts the total magnetization at 0.0 μB per formula unit. The density of states at the Fermi level is 0.793 states/eV/atom. The value obtained for the uncorrected formation energy is 3.54 eV per formula unit.



# 9
Compound: CdRe2Cl
Source: Alexandria
Functional: PBE
Structure: relaxed Values from VASP.

Quantum ESPRESSO input file:
```
&SYSTEM
  ibrav = 0, nat = 4, ntyp = 3
/
ATOMIC_SPECIES
Cd 112.41 Cd.upf
Re 186.21 Re.upf
Cl 35.45 Cl.upf
CELL_PARAMETERS angstrom
2.591 -5.074 0.000
2.591 5.074 0.000
0.000 0.000 2.726
ATOMIC_POSITIONS crystal
Cd 0.000 0.000 0.000
Re 0.000 0.500 0.500
Re 0.500 0.000 0.500
Cl 0.500 0.500 0.000
```

Values from the calculation:
The calculation puts the total magnetization at 0.6 μB per formula unit. The density of states at the Fermi level is 1.131 states/eV/atom. The value obtained for the uncorrected formation energy is 5.29 eV per formula unit.



# 10
Compound: Cd2ReCl
Source: Alexandria
Functional: PBE
Structure: relaxed Values from VASP.

Quantum ESPRESSO input file:
```
&SYSTEM
  ibrav = 0, nat = 4, ntyp = 3
/
ATOMIC_SPECIES
Cd 112.41 Cd.upf
Re 186.21 Re.upf
Cl 35.45 Cl.upf
CELL_PARAMETERS angstrom
3.049 0.000 0.000
0.000 3.051 0.000
0.000 0.000 8.531
ATOMIC_POSITIONS crystal
Cd 0.000 0.000 0.231
Cd 0.000 0.000 0.769
Re 0.500 0.500 0.000
Cl 0.000 0.500 0.500
```

Values from the calculation:
The calculation puts the total magnetization at 0.9 μB per formula unit. The density of states at the Fermi level is 0.633 states/eV/atom. The value obtained for the uncorrected formation energy is 1.30 eV per formula unit.



# 11
Compound: Cd2ReCl
Source: Alexandria
Functional: PBE
Structure: relaxed Values from VASP.

Quantum ESPRESSO input file:
```
&SYSTEM
  ibrav = 0, nat = 8, ntyp = 3
/
ATOMIC_SPECIES
Cd 112.41 Cd.upf
Re 186.21 Re.upf
Cl 35.45 Cl.upf
CELL_PARAMETERS angstrom
-3.916 3.916 2.848
3.916 -3.916 2.848
3.916 3.916 -2.848
ATOMIC_POSITIONS crystal
Cd 0.117 0.125 0.492
Cd 0.375 0.883 0.008
Cd 0.633 0.625 0.508
Cd 0.875 0.367 0.992
Re 0.000 0.000 0.000
Re 0.750 0.250 0.500
Cl 0.250 0.750 0.500
Cl 0.500 0.500 0.000
```

Values from the calculation:
The calculation puts the total magnetization at 2.6 μB per formula unit. The density of states at the Fermi level is 0.668 states/eV/atom. The value obtained for the uncorrected formation energy is 3.78 eV per formula unit.



# 12
Compound: CdRe2Cl
Source: Alexandria
Functional: PBE
Structure: relaxed Values from VASP.

Quantum ESPRESSO input file:
```
&SYSTEM
  ibrav = 0, nat = 4, ntyp = 3
/
ATOMIC_SPECIES
Cd 112.41 Cd.upf
Re 186.21 Re.upf
Cl 35.45 Cl.upf
CELL_PARAMETERS angstrom
2.812 0.000 0.000
0.000 4.817 0.000
0.000 0.000 5.070
ATOMIC_POSITIONS crystal
Cd 0.000 0.000 0.000
Re 0.000 0.500 0.500
Re 0.500 0.000 0.500
Cl 0.500 0.500 0.000
```

Values from the calculation:
The calculation puts the total magnetization at 0.0 μB per formula unit. The density of states at the Fermi level is 0.818 states/eV/atom. The value obtained for the uncorrected formation energy is 3.86 eV per formula unit.



# 13
Compound: CdRe2Cl
Source: Alexandria
Functional: PBE
Structure: relaxed Values from VASP.

Quantum ESPRESSO input file:
```
&SYSTEM
  ibrav = 0, nat = 4, ntyp = 3
/
ATOMIC_SPECIES
Cd 112.41 Cd.upf
Re 186.21 Re.upf
Cl 35.45 Cl.upf
CELL_PARAMETERS angstrom
3.206 -1.482 0.000
3.206 1.482 0.000
-2.241 0.000 8.474
ATOMIC_POSITIONS crystal
Cd 0.000 0.000 0.000
Re 0.544 0.544 0.452
Re 0.745 0.745 0.271
Cl 0.169 0.169 0.689
```

Values from the calculation:
The calculation puts the total magnetization at 0.0 μB per formula unit. The density of states at the Fermi level is 0.493 states/eV/atom. The value obtained for the uncorrected formation energy is 1.32 eV per formula unit.



# 14
Compound: CdRe2Cl
Source: Alexandria
Functional: PBE
Structure: relaxed Values from VASP.

Quantum ESPRESSO input file:
```
&SYSTEM
  ibrav = 0, nat = 4, ntyp = 3
/
ATOMIC_SPECIES
Cd 112.41 Cd.upf
Re 186.21 Re.upf
Cl 35.45 Cl.upf
CELL_PARAMETERS angstrom
3.015 0.000 0.000
0.000 3.015 0.000
0.000 0.000 7.002
ATOMIC_POSITIONS crystal
Cd 0.000 0.000 0.000
Re 0.500 0.500 0.294
Re 0.500 0.500 0.706
Cl 0.000 0.000 0.500
```

Values from the calculation:
The calculation puts the total magnetization at 0.0 μB per formula unit. The density of states at the Fermi level is 1.438 states/eV/atom. The value obtained for the uncorrected formation energy is 5.48 eV per formula unit.



# 15
Compound: CdRe3Cl
Source: Alexandria
Functional: PBE
Structure: relaxed Values from VASP.

Quantum ESPRESSO input file:
```
&SYSTEM
  ibrav = 0, nat = 5, ntyp = 3
/
ATOMIC_SPECIES
Cd 112.41 Cd.upf
Re 186.21 Re.upf
Cl 35.45 Cl.upf
CELL_PARAMETERS angstrom
4.400 0.000 0.000
0.000 4.400 0.000
0.000 0.000 4.400
ATOMIC_POSITIONS crystal
Cd 0.000 0.000 0.000
Re 0.000 0.500 0.500
Re 0.500 0.000 0.500
Re 0.500 0.500 0.000
Cl 0.500 0.500 0.500
```

Values from the calculation:
The calculation puts the total magnetization at 0.0 μB per formula unit. The density of states at the Fermi level is 1.191 states/eV/atom. The value obtained for the uncorrected formation energy is 8.53 eV per formula unit.